Density functional theory data (PBE-GGA) for a geometry-optimized NdPaNiIr structure.

Geometry as POSCAR:
```
NdPaNiIr
1.0
0.000 3.466 3.466
3.466 0.000 3.466
3.466 3.466 0.000
Nd Pa Ni Ir
1 1 1 1
Cartesian
0.000 0.000 0.000 Nd
3.466 3.466 3.466 Pa
1.733 1.733 1.733 Ni
5.199 5.199 5.199 Ir
```

Summary:
* uncorrected energy: -7.58 eV/atom
* ΔE_f: -357 meV per atom
* DOS at the Fermi energy: 1.4134 states/eV per atom
* symmetry: F-43m